Record 1
V2O5: single point on PBEsol structure, SCAN.

Geometry as POSCAR:
```
V2O5
1.0
3.5708 0.0000 0.0000
-1.7854 7.6830 -0.1363
0.0000 -3.4370 9.5580
V O
6 15
Cartesian
0.0000 -0.2977 5.8454
1.7854 4.5437 3.5764
0.0000 1.3080 8.6461
1.7854 2.9380 0.7756
0.0000 3.1180 5.7356
1.7854 1.1280 3.6862
0.0000 1.2816 4.1985
1.7854 2.9644 5.2233
0.0000 -0.8975 7.3222
1.7854 5.1435 2.0995
0.0000 3.4947 0.6445
1.7854 0.7513 8.7773
0.0000 4.1247 3.9703
1.7854 0.1213 5.4515
0.0000 1.6150 6.8277
1.7854 2.6310 2.5941
0.0000 2.7616 9.2342
1.7854 1.4844 0.1876
0.0000 4.3047 6.7700
1.7854 -0.0587 2.6517
0.0000 -1.7185 4.7790
```

* total magnetic moment: 0.0000 μB/atom
* formation energy from raw total energies: -2447 meV per atom
* Fermi-level density of states: 0.0 states/eV/cell
* volume: 260.55 Å³/cell
* space group: No. 12

Record 2
MgTaAs2: single point on PBEsol structure, SCAN.

Geometry as POSCAR:
```
MgTaAs2
1.0
-0.1101 0.3639 3.7592
-1.9937 -3.1997 0.2513
5.1680 -1.1182 -1.6392
As Mg Ta
2 1 1
Cartesian
0.0000 0.0000 0.0000
2.0030 -1.0861 2.0626
-1.0519 -1.4179 2.0053
1.0612 -2.8679 0.3087
```

* total magnetic moment: 0.0000 μB/atom
* energy of formation: -0.0333 eV per atom
* Fermi-level density of states: 2.3 states/eV/cell
* volume: 69.22 Å³/cell
* space group: No. 119